An optimized crystal structure of RbInCuSi2. Source: Alexandria via LeMat-Bulk, functional GGA-PBEsol.

abc: 4.9934 5.4707 5.4707
angles: 90.00 90.00 90.00
With the nearest neighbours (Å) after each atom.
Sites, in units of the cell vectors:
Si  0.0000  0.0000  0.5000  2 Rb 2.74
Si  0.0000  0.5000  0.0000  2 Rb 2.74
Cu  0.5000  0.0000  0.0000  2 Rb 2.50
Rb  0.0000  0.0000  0.0000  2 Cu 2.50, 4 Si 2.74
In  0.5000  0.5000  0.5000  8 Si 3.70, 4 Cu 3.87

Values from the calculation:
formation energy (no corrections) = 1.96 eV per atom
uncorrected energy = -10.0 eV for the cell shown
space group = P4/mmm

***

An optimized crystal structure of LiSi2Ni. Source: Alexandria via LeMat-Bulk, functional GGA-PBEsol.

abc: 3.1288 3.1288 4.8836
angles: 90.00 90.00 90.00
With the nearest neighbours (Å) after each atom.
Sites, in units of the cell vectors:
Li  0.0000  0.0000  0.4953  6 Si 2.37-2.51, 4 Ni 2.59
Ni  0.5000  0.5000  0.7692  6 Si 2.37-2.51, 4 Li 2.59
Si  0.0000  0.0000  0.9811  2 Li 2.37-2.51, 4 Ni 2.44, 4 Si 2.58
Si  0.5000  0.5000  0.2544  2 Ni 2.37-2.51, 4 Li 2.51, 4 Si 2.58

Values from the calculation:
formation energy (no corrections) = -0.21 eV per atom
relative energy among the computed polymorphs = 0.58 eV/f.u.
uncorrected energy = -20.5 eV for the cell shown
space group = P4mm